No. 1
## Sc3GeSe (PBE)

Data for a relaxed Sc3GeSe crystal.

## Properties
Space-group type   P2_1/m
Uncorrected formation energy   -1.003 eV per atom

Unit cell a=7.615 b=3.823 c=7.705 alpha=90.00 beta=95.28 gamma=90.00
Element x y z (fractional)
Sc 0.110 0.250 0.372
Sc 0.159 0.750 0.014
Sc 0.388 0.750 0.670
Sc 0.612 0.250 0.330
Sc 0.841 0.250 0.986
Sc 0.890 0.750 0.628
Ge 0.137 0.250 0.750
Ge 0.863 0.750 0.250
Se 0.358 0.750 0.320
Se 0.642 0.250 0.680


No. 2
## Ac2HOs (PBE)

Data for a relaxed Ac2HOs crystal.

## Properties
Space-group type   R-3m
Calculated total energy   -4.91 eV per atom

Unit cell a=9.203 b=9.203 c=9.203 alpha=22.00 beta=22.00 gamma=22.00
Element x y z (fractional)
Ac 0.100 0.100 0.100
Ac 0.900 0.900 0.900
H 0.500 0.500 0.500
Os 0.000 0.000 0.000


No. 3
## ScZnRh2 (PBE)

Data for a relaxed ScZnRh2 crystal.

## Properties
Space-group type   P4mm
Calculated total energy   -6.05 eV per atom

Unit cell a=3.376 b=3.376 c=5.545 alpha=90.00 beta=90.00 gamma=90.00
Element x y z (fractional)
Sc 0.000 0.000 0.000
Zn 0.500 0.500 0.295
Rh 0.000 0.000 0.478
Rh 0.500 0.500 0.782


No. 4
## YHgBiAu (PBE)

Data for a relaxed YHgBiAu crystal.

## Properties
Space-group type   F-43m
Calculated total energy   -3.89 eV per atom

Unit cell a=5.209 b=5.209 c=5.209 alpha=60.00 beta=60.00 gamma=60.00
Element x y z (fractional)
Y 0.000 0.000 0.000
Hg 0.750 0.750 0.750
Bi 0.500 0.500 0.500
Au 0.250 0.250 0.250


No. 5
## TaTi2NbNi (PBE)

Data for a relaxed TaTi2NbNi crystal.

## Properties
Space-group type   P4/mmm
Calculated total energy   -7.25 eV per atom

Unit cell a=4.757 b=4.757 c=4.849 alpha=90.00 beta=90.00 gamma=90.00
Element x y z (fractional)
Ta 0.000 0.000 0.000
Ti 0.000 0.500 0.000
Ti 0.500 0.000 0.000
Nb 0.000 0.000 0.500
Ni 0.500 0.500 0.500


No. 6
## Li2MnRh (PBE)

Data for a relaxed Li2MnRh crystal.

## Properties
Space-group type   P4/mmm
Calculated total energy   -5.11 eV per atom

Unit cell a=3.654 b=3.654 c=4.211 alpha=90.00 beta=90.00 gamma=90.00
Element x y z (fractional)
Li 0.000 0.500 0.000
Li 0.500 0.000 0.000
Mn 0.000 0.000 0.500
Rh 0.500 0.500 0.500


No. 7
## Hf4PaCd2 (PBE)

Data for a relaxed Hf4PaCd2 crystal.

## Properties
Space-group type   Cmmm
Calculated total energy   -7.26 eV per atom

Unit cell a=10.963 b=10.963 c=3.167 alpha=90.00 beta=90.00 gamma=155.38
Element x y z (fractional)
Hf 0.072 0.928 0.000
Hf 0.353 0.647 0.500
Hf 0.647 0.353 0.500
Hf 0.928 0.072 0.000
Pa 0.500 0.500 0.500
Cd 0.213 0.787 0.000
Cd 0.787 0.213 0.000


No. 8
## CeSmGdHo (PBE)

Data for a relaxed CeSmGdHo crystal.

## Properties
Space-group type   F-43m
Calculated total energy   -7.16 eV per atom

Unit cell a=5.694 b=5.694 c=5.694 alpha=60.00 beta=60.00 gamma=60.00
Element x y z (fractional)
Ce 0.000 0.000 0.000
Sm 0.250 0.250 0.250
Gd 0.750 0.750 0.750
Ho 0.500 0.500 0.500


No. 9
## AcLaBiN (PBE)

Data for a relaxed AcLaBiN crystal.

## Properties
Space-group type   P4/nmm
Uncorrected formation energy   -1.206 eV per atom

Unit cell a=4.901 b=4.901 c=9.835 alpha=90.00 beta=90.00 gamma=90.00
Element x y z (fractional)
Ac 0.250 0.250 0.175
Ac 0.750 0.750 0.825
La 0.250 0.750 0.500
La 0.750 0.250 0.500
Bi 0.250 0.250 0.797
Bi 0.750 0.750 0.203
N 0.250 0.250 0.420
N 0.750 0.750 0.580


No. 10
## Pm9Pr4Hg11 (PBE)

Data for a relaxed Pm9Pr4Hg11 crystal.

## Properties
Space-group type   Cmmm
Calculated total energy   -3.10 eV per atom

Unit cell a=14.046 b=14.046 c=3.662 alpha=90.00 beta=90.00 gamma=110.03
Element x y z (fractional)
Pm 0.000 0.000 0.000
Pm 0.116 0.650 0.000
Pm 0.295 0.479 0.000
Pm 0.350 0.884 0.000
Pm 0.479 0.295 0.000
Pm 0.521 0.705 0.000
Pm 0.650 0.116 0.000
Pm 0.705 0.521 0.000
Pm 0.884 0.350 0.000
Pr 0.075 0.246 0.000
Pr 0.246 0.075 0.000
Pr 0.754 0.925 0.000
Pr 0.925 0.754 0.000
Hg 0.091 0.450 0.500
Hg 0.133 0.867 0.500
Hg 0.282 0.282 0.500
Hg 0.319 0.681 0.500
Hg 0.450 0.091 0.500
Hg 0.500 0.500 0.500
Hg 0.550 0.909 0.500
Hg 0.681 0.319 0.500
Hg 0.718 0.718 0.500
Hg 0.867 0.133 0.500
Hg 0.909 0.550 0.500


No. 11
## Ga2SiHgAs (PBE)

Data for a relaxed Ga2SiHgAs crystal.

## Properties
Space-group type   P4/mmm
Uncorrected formation energy   0.470 eV per atom

Unit cell a=4.833 b=4.833 c=5.036 alpha=90.00 beta=90.00 gamma=90.00
Element x y z (fractional)
Ga 0.000 0.500 0.000
Ga 0.500 0.000 0.000
Si 0.000 0.000 0.000
Hg 0.000 0.000 0.500
As 0.500 0.500 0.500


No. 12
## MoRuW2 (PBE)

Data for a relaxed MoRuW2 crystal.

## Properties
Space-group type   P4/mmm
Calculated total energy   -11.28 eV per atom

Unit cell a=3.992 b=3.992 c=3.925 alpha=90.00 beta=90.00 gamma=90.00
Element x y z (fractional)
Mo 0.000 0.000 0.000
Ru 0.500 0.500 0.000
W 0.000 0.500 0.500
W 0.500 0.000 0.500


No. 13
## LiNbTl3 (PBE)

Data for a relaxed LiNbTl3 crystal.

## Properties
Space-group type   Pm-3m
Calculated total energy   -3.33 eV per atom

Unit cell a=5.509 b=5.509 c=5.509 alpha=90.00 beta=90.00 gamma=90.00
Element x y z (fractional)
Li 0.000 0.000 0.000
Nb 0.500 0.500 0.500
Tl 0.000 0.500 0.500
Tl 0.500 0.000 0.500
Tl 0.500 0.500 0.000


No. 14
## BeRu2Au (PBE)

Data for a relaxed BeRu2Au crystal.

## Properties
Space-group type   I4/mmm
Calculated total energy   -6.04 eV per atom

Unit cell a=4.756 b=4.756 c=4.756 alpha=133.46 beta=133.46 gamma=67.94
Element x y z (fractional)
Be 0.000 0.000 0.000
Ru 0.250 0.750 0.500
Ru 0.750 0.250 0.500
Au 0.500 0.500 0.000


No. 15
## Sr7Hg3 (PBE)

Data for a relaxed Sr7Hg3 crystal.

## Properties
Space-group type   P6_3mc
Calculated total energy   -1.60 eV per atom

Unit cell a=11.481 b=11.481 c=7.403 alpha=90.00 beta=90.00 gamma=120.00
Element x y z (fractional)
Sr 0.083 0.541 0.000
Sr 0.125 0.249 0.705
Sr 0.125 0.875 0.705
Sr 0.249 0.125 0.205
Sr 0.333 0.667 0.508
Sr 0.459 0.541 0.000
Sr 0.459 0.917 0.000
Sr 0.541 0.083 0.500
Sr 0.541 0.459 0.500
Sr 0.667 0.333 0.008
Sr 0.751 0.875 0.705
Sr 0.875 0.125 0.205
Sr 0.875 0.751 0.205
Sr 0.917 0.459 0.500
Hg 0.190 0.380 0.280
Hg 0.190 0.810 0.280
Hg 0.380 0.190 0.780
Hg 0.620 0.810 0.280
Hg 0.810 0.190 0.780
Hg 0.810 0.620 0.780


No. 16
## LaSc3Br (PBE)

Data for a relaxed LaSc3Br crystal.

## Properties
Space-group type   Pm-3m
Uncorrected formation energy   0.893 eV per atom

Unit cell a=5.445 b=5.445 c=5.445 alpha=90.00 beta=90.00 gamma=90.00
Element x y z (fractional)
La 0.000 0.000 0.000
Sc 0.000 0.000 0.500
Sc 0.000 0.500 0.000
Sc 0.500 0.000 0.000
Br 0.500 0.500 0.500


No. 17
## KHgW2 (PBE)

Data for a relaxed KHgW2 crystal.

## Properties
Space-group type   I-42d
Calculated total energy   -5.11 eV per atom

Unit cell a=10.916 b=10.916 c=10.916 alpha=154.89 beta=154.89 gamma=35.80
Element x y z (fractional)
K 0.000 0.000 0.000
K 0.750 0.250 0.500
Hg 0.250 0.750 0.500
Hg 0.500 0.500 0.000
W 0.348 0.625 0.223
W 0.375 0.598 0.723
W 0.402 0.125 0.777
W 0.875 0.652 0.277


No. 18
## BaSrTl2 (PBE)

Data for a relaxed BaSrTl2 crystal.

## Properties
Space-group type   I-4m2
Calculated total energy   -2.34 eV per atom

Unit cell a=6.567 b=6.567 c=6.567 alpha=133.20 beta=133.20 gamma=68.33
Element x y z (fractional)
Ba 0.000 0.000 0.000
Sr 0.250 0.750 0.500
Tl 0.500 0.500 0.000
Tl 0.750 0.250 0.500


No. 19
## LaSnCl2 (PBE)

Data for a relaxed LaSnCl2 crystal.

## Properties
Space-group type   I-42d
Uncorrected formation energy   -1.179 eV per atom

Unit cell a=10.434 b=10.434 c=10.434 alpha=152.96 beta=152.96 gamma=38.61
Element x y z (fractional)
La 0.000 0.000 0.000
La 0.750 0.250 0.500
Sn 0.250 0.750 0.500
Sn 0.500 0.500 0.000
Cl 0.104 0.625 0.979
Cl 0.375 0.354 0.479
Cl 0.646 0.125 0.021
Cl 0.875 0.896 0.521


No. 20
## VIrRu2 (PBE)

Data for a relaxed VIrRu2 crystal.

## Properties
Space-group type   I-4m2
Calculated total energy   -9.35 eV per atom

Unit cell a=4.684 b=4.684 c=4.684 alpha=131.94 beta=131.94 gamma=70.32
Element x y z (fractional)
V 0.000 0.000 0.000
Ir 0.750 0.250 0.500
Ru 0.250 0.750 0.500
Ru 0.500 0.500 0.000


No. 21
## YPu3Zr2N6 (PBE)

Data for a relaxed YPu3Zr2N6 crystal.

## Properties
Space-group type   C2/m
Uncorrected formation energy   -1.498 eV per atom

Unit cell a=5.892 b=5.892 c=5.892 alpha=99.60 beta=99.60 gamma=119.95
Element x y z (fractional)
Y 0.000 0.000 0.000
Pu 0.166 0.834 0.500
Pu 0.500 0.500 0.500
Pu 0.834 0.166 0.500
Zr 0.333 0.667 0.000
Zr 0.667 0.333 0.000
N 0.081 0.426 0.242
N 0.266 0.266 0.761
N 0.426 0.081 0.242
N 0.574 0.919 0.758
N 0.734 0.734 0.239
N 0.919 0.574 0.758


No. 22
## TmCuSnRu (PBE)

Data for a relaxed TmCuSnRu crystal.

## Properties
Space-group type   F-43m
Calculated total energy   -5.76 eV per atom

Unit cell a=4.663 b=4.663 c=4.663 alpha=60.00 beta=60.00 gamma=60.00
Element x y z (fractional)
Tm 0.000 0.000 0.000
Cu 0.250 0.250 0.250
Sn 0.500 0.500 0.500
Ru 0.750 0.750 0.750


No. 23
## RbSn7Pb12 (PBE)

Data for a relaxed RbSn7Pb12 crystal.

## Properties
Space-group type   Im-3
Calculated total energy   -3.53 eV per atom

Unit cell a=10.001 b=10.001 c=10.001 alpha=109.47 beta=109.47 gamma=109.47
Element x y z (fractional)
Rb 0.000 0.000 0.000
Sn 0.000 0.000 0.500
Sn 0.000 0.500 0.000
Sn 0.000 0.500 0.500
Sn 0.500 0.000 0.000
Sn 0.500 0.000 0.500
Sn 0.500 0.500 0.000
Sn 0.500 0.500 0.500
Pb 0.117 0.353 0.764
Pb 0.236 0.588 0.353
Pb 0.236 0.883 0.647
Pb 0.353 0.236 0.588
Pb 0.353 0.764 0.117
Pb 0.412 0.647 0.764
Pb 0.588 0.353 0.236
Pb 0.647 0.236 0.883
Pb 0.647 0.764 0.412
Pb 0.764 0.117 0.353
Pb 0.764 0.412 0.647
Pb 0.883 0.647 0.236


No. 24
## RhPbI3 (PBE)

Data for a relaxed RhPbI3 crystal.

## Properties
Space-group type   Pm-3m
Uncorrected formation energy   0.630 eV per atom

Unit cell a=6.208 b=6.208 c=6.208 alpha=90.00 beta=90.00 gamma=90.00
Element x y z (fractional)
Rh 0.000 0.000 0.000
Pb 0.500 0.500 0.500
I 0.000 0.500 0.500
I 0.500 0.000 0.500
I 0.500 0.500 0.000


No. 25
## CoAgPt (PBE)

Data for a relaxed CoAgPt crystal.

## Properties
Space-group type   P3m1
Calculated total energy   -5.20 eV per atom

Unit cell a=2.769 b=2.769 c=6.763 alpha=90.00 beta=90.00 gamma=120.00
Element x y z (fractional)
Co 0.000 0.000 0.000
Ag 0.333 0.667 0.669
Pt 0.667 0.333 0.303


no.,M_tot (μB per formula unit),density (g cm⁻³)
1,0.00,4.26
2,0.00,11.18
3,0.00,8.31
4,0.00,11.55
5,1.25,6.48
6,4.25,5.07
7,0.00,12.25
8,10.39,7.79
9,0.00,8.28
10,0.45,9.97
11,0.00,6.26
12,0.00,14.99
13,0.00,7.08
14,0.73,12.17
15,0.00,4.77
16,0.00,3.64
17,0.00,8.62
18,0.00,7.12
19,0.00,4.66
20,0.00,13.27
21,14.36,10.81
22,0.00,10.48
23,0.00,7.34
24,1.92,4.80
25,2.04,13.38